The following is a DFT calculation (GGA-PBE) of SrPr3Pt8 after structural relaxation.

a = 5.5470 Å, b = 5.5470 Å, c = 9.6081 Å
α = 73.22°, β = 73.22°, γ = 60.00°
Last column: nearest neighbours and their distance in Å.
Positions (direct):
Sr: 0.8742 0.8742 0.3775  12 Pt 3.25-3.28, 4 Pr 3.37-3.38
Pr: 0.3760 0.3760 0.8720  12 Pt 3.22-3.26, 4 Pr 3.42
Pr: 0.9984 0.9984 0.0047  12 Pt 3.22-3.26, 1 Sr 3.38, 3 Pr 3.42
Pr: 0.5017 0.5017 0.4948  12 Pt 3.24-3.29, 3 Sr 3.37, 1 Pr 3.42
Pt: 0.9403 0.4374 0.1849  6 Pt 2.76-2.79
Pt: 0.4351 0.9372 0.6905  6 Pt 2.76-2.79
Pt: 0.4374 0.4374 0.1849  6 Pt 2.76-2.79
Pt: 0.9372 0.9372 0.6905  6 Pt 2.76-2.79
Pt: 0.1876 0.1876 0.4372  6 Pt 2.79
Pt: 0.6875 0.6875 0.9376  6 Pt 2.76
Pt: 0.4374 0.9403 0.1849  6 Pt 2.76-2.79
Pt: 0.9372 0.4351 0.6905  6 Pt 2.76-2.79

Calculated values
**Energy of formation**: -23.02 kcal/mol of atoms

***

The following is a DFT calculation (GGA-PBE) of Co2TcGe4 after structural relaxation.

a = 3.0765 Å, b = 6.0819 Å, c = 6.6464 Å
α = 112.53°, β = 103.38°, γ = 90.00°
Last column: nearest neighbours and their distance in Å.
Positions (direct):
Co: 0.7524 0.6975 0.5048  6 Ge 2.29-2.53
Co: 0.2476 0.3025 0.4952  6 Ge 2.29-2.53
Tc: 0.0000 0.0000 0.0000  6 Ge 2.48-2.52
Ge: 0.8437 0.1490 0.6874  3 Co 2.39-2.53, 1 Tc 2.52
Ge: 0.1563 0.8510 0.3126  3 Co 2.39-2.53, 1 Tc 2.52
Ge: 0.6050 0.3328 0.2100  3 Co 2.29-2.46, 2 Tc 2.48
Ge: 0.3950 0.6672 0.7900  3 Co 2.29-2.46, 2 Tc 2.48

Calculated values
**Energy of formation**: -1.99 kcal/mol of atoms
**Distance to the lowest polymorph of the same formula**: 0.0000 eV/atom